DFT (PBE) results for crystalline Ce5NdIr6 at its relaxed geometry.

Cell lengths 7.0071, 7.0147, 7.0223 Å; angles 60.04, 80.39, 70.48 degrees
Fractional coordinates of all 12 atoms:
Ir  0.2577  0.2587  0.0000
Ir  0.2547  0.9145  0.6552
Ir  0.7453  0.4302  0.6552
Ir  0.2547  0.5698  0.3448
Ir  0.7453  0.0855  0.3448
Ir  0.7423  0.7413  0.0000
Ce  0.5000  0.8348  0.3304
Ce  0.0000  0.3325  0.3349
Ce  0.0000  0.6675  0.6651
Ce  0.5000  0.1652  0.6696
Ce  0.5000  0.5000  0.0000
Nd  0.0000  0.0000  0.0000

## Properties
For the formation enthalpy at 0 K, the calculation gives -662 meV per atom. As for the calculated total energy: -7.96 eV/atom.